# 1
A plane-wave DFT calculation with PBE was carried out for a relaxed structure of BaSr2PtO4.

Summary:
D(E_F) ... 0.416 states/eV per atom
Energy ... -184.046 eV per cell
E_form (uncorrected) ... -1433 kJ/mol of formula units

Structure (CIF):
```
data_BaSr2PtO4
_symmetry_space_group_name_H-M 'C m c m'
_symmetry_Int_Tables_number 63
_symmetry_space_group_name_Hall '-C 2c 2'
_cell_length_a 3.632
_cell_length_b 12.622
_cell_length_c 12.450
_cell_angle_alpha 90.00
_cell_angle_beta 90.00
_cell_angle_gamma 90.00
loop_
_atom_site_label
_atom_site_type_symbol
_atom_site_fract_x
_atom_site_fract_y
_atom_site_fract_z
_atom_site_occupancy
Ba1 Ba 0.000 0.116 0.250 1
Sr1 Sr 0.000 0.372 0.046 1
Pt1 Pt 0.000 0.147 0.750 1
O1 O 0.000 0.000 0.000 1
O2 O 0.000 0.270 0.625 1
O3 O 0.000 0.448 0.250 1
```

=====

# 2
A plane-wave DFT calculation with PBE was carried out for a relaxed structure of Cu3As.

Summary:
D(E_F) ... 0.259 states/eV per atom
Energy ... -16.818 eV per cell
DFT formation energy ... 0.030 eV per atom

Structure (CIF):
```
data_Cu3As
_symmetry_space_group_name_H-M 'P m -3 m'
_symmetry_Int_Tables_number 221
_symmetry_space_group_name_Hall '-P 4 2 3'
_cell_length_a 3.750
_cell_length_b 3.750
_cell_length_c 3.750
_cell_angle_alpha 90.00
_cell_angle_beta 90.00
_cell_angle_gamma 90.00
loop_
_atom_site_label
_atom_site_type_symbol
_atom_site_fract_x
_atom_site_fract_y
_atom_site_fract_z
_atom_site_occupancy
Cu1 Cu 0.000 0.000 0.500 1
As1 As 0.500 0.500 0.500 1
```

=====

# 3
A plane-wave DFT calculation with PBE was carried out for a relaxed structure of CaPu5Te6.

Summary:
D(E_F) ... 4.563 states/eV per atom
Energy ... -212.923 eV per cell
E_form (uncorrected) ... -1346 kJ/mol of formula units

Structure (CIF):
```
data_CaPu5Te6
_symmetry_space_group_name_H-M 'C 1 2/m 1'
_symmetry_Int_Tables_number 12
_symmetry_space_group_name_Hall '-C 2y'
_cell_length_a 7.716
_cell_length_b 13.369
_cell_length_c 7.728
_cell_angle_alpha 90.00
_cell_angle_beta 109.45
_cell_angle_gamma 90.00
loop_
_atom_site_label
_atom_site_type_symbol
_atom_site_fract_x
_atom_site_fract_y
_atom_site_fract_z
_atom_site_occupancy
Ca1 Ca 0.000 0.000 0.000 1
Pu1 Pu 0.000 0.166 0.500 1
Pu2 Pu 0.000 0.333 0.000 1
Pu3 Pu 0.000 0.500 0.500 1
Te1 Te 0.249 0.333 0.749 1
Te2 Te 0.249 0.500 0.251 1
```

=====

# 4
A plane-wave DFT calculation with PBE was carried out for a relaxed structure of AgICl2.

Summary:
D(E_F) ... 0.578 states/eV per atom
Energy ... -27.883 eV per cell
E_form (uncorrected) ... 108 kJ/mol of formula units

Structure (CIF):
```
data_AgICl2
_symmetry_space_group_name_H-M 'F m -3 m'
_symmetry_Int_Tables_number 225
_symmetry_space_group_name_Hall '-F 4 2 3'
_cell_length_a 7.442
_cell_length_b 7.442
_cell_length_c 7.442
_cell_angle_alpha 90.00
_cell_angle_beta 90.00
_cell_angle_gamma 90.00
loop_
_atom_site_label
_atom_site_type_symbol
_atom_site_fract_x
_atom_site_fract_y
_atom_site_fract_z
_atom_site_occupancy
Ag1 Ag 0.000 0.000 0.000 1
I1 I 0.000 0.000 0.500 1
Cl1 Cl 0.250 0.250 0.250 1
```

=====

# 5
A plane-wave DFT calculation with PBE was carried out for a relaxed structure of SrH2.

Summary:
D(E_F) ... 0.000 states/eV per atom
Energy ... -40.286 eV per cell

Structure (CIF):
```
data_SrH2
_symmetry_space_group_name_H-M 'P n m a'
_symmetry_Int_Tables_number 62
_symmetry_space_group_name_Hall '-P 2ac 2n'
_cell_length_a 6.300
_cell_length_b 3.836
_cell_length_c 7.260
_cell_angle_alpha 90.00
_cell_angle_beta 90.00
_cell_angle_gamma 90.00
loop_
_atom_site_label
_atom_site_type_symbol
_atom_site_fract_x
_atom_site_fract_y
_atom_site_fract_z
_atom_site_occupancy
Sr1 Sr 0.240 0.250 0.111 1
H1 H 0.026 0.750 0.320 1
H2 H 0.146 0.750 0.928 1
```

=====

# 6
A plane-wave DFT calculation with PBE was carried out for a relaxed structure of UFeTcGe.

Summary:
D(E_F) ... 1.248 states/eV per atom
Energy ... -67.651 eV per cell
DFT formation energy ... 0.227 eV per atom

Structure (CIF):
```
data_UFeTcGe
_symmetry_space_group_name_H-M 'A m m 2'
_symmetry_Int_Tables_number 38
_symmetry_space_group_name_Hall 'A 2 -2'
_cell_length_a 4.801
_cell_length_b 3.035
_cell_length_c 9.509
_cell_angle_alpha 90.00
_cell_angle_beta 90.00
_cell_angle_gamma 90.00
loop_
_atom_site_label
_atom_site_type_symbol
_atom_site_fract_x
_atom_site_fract_y
_atom_site_fract_z
_atom_site_occupancy
U1 U 0.000 0.000 0.000 1
Fe1 Fe 0.500 0.000 0.883 1
Tc1 Tc 0.000 0.000 0.267 1
Ge1 Ge 0.500 0.000 0.173 1
```

=====

# 7
A plane-wave DFT calculation with PBE was carried out for a relaxed structure of Li2CoPt.

Summary:
D(E_F) ... 0.706 states/eV per atom
Energy ... -35.146 eV per cell
DFT formation energy ... -0.150 eV per atom

Structure (CIF):
```
data_Li2CoPt
_symmetry_space_group_name_H-M 'C m m m'
_symmetry_Int_Tables_number 65
_symmetry_space_group_name_Hall '-C 2 2'
_cell_length_a 2.733
_cell_length_b 4.508
_cell_length_c 8.721
_cell_angle_alpha 90.00
_cell_angle_beta 90.00
_cell_angle_gamma 90.00
loop_
_atom_site_label
_atom_site_type_symbol
_atom_site_fract_x
_atom_site_fract_y
_atom_site_fract_z
_atom_site_occupancy
Li1 Li 0.000 0.000 0.248 1
Co1 Co 0.000 0.500 0.000 1
Pt1 Pt 0.000 0.500 0.500 1
```

=====

# 8
A plane-wave DFT calculation with PBE was carried out for a relaxed structure of RbPu2PbO8.

Summary:
D(E_F) ... 0.610 states/eV per atom
Energy ... -91.437 eV per cell
E_form (uncorrected) ... -1778 kJ/mol of formula units

Structure (CIF):
```
data_RbPu2PbO8
_symmetry_space_group_name_H-M 'P -3'
_symmetry_Int_Tables_number 147
_symmetry_space_group_name_Hall '-P 3'
_cell_length_a 6.2312
_cell_length_b 6.2312
_cell_length_c 6.1607
_cell_angle_alpha 90.00
_cell_angle_beta 90.00
_cell_angle_gamma 120.00
loop_
_atom_site_label
_atom_site_type_symbol
_atom_site_fract_x
_atom_site_fract_y
_atom_site_fract_z
_atom_site_occupancy
Rb1 Rb 0.0000 0.0000 0.0000 1
Pu1 Pu 0.3333 0.6667 0.9478 1
Pb1 Pb 0.0000 0.0000 0.5000 1
O1 O 0.0618 0.4021 0.1538 1
O2 O 0.3333 0.6667 0.6445 1
```

=====

# 9
A plane-wave DFT calculation with PBE was carried out for a relaxed structure of MnV4Tc3.

Summary:
D(E_F) ... 0.577 states/eV per atom
Energy ... -79.362 eV per cell
DFT formation energy ... -0.328 eV per atom

Structure (CIF):
```
data_MnV4Tc3
_symmetry_space_group_name_H-M 'P 4/m m m'
_symmetry_Int_Tables_number 123
_symmetry_space_group_name_Hall '-P 4 2'
_cell_length_a 2.994
_cell_length_b 2.994
_cell_length_c 11.961
_cell_angle_alpha 90.00
_cell_angle_beta 90.00
_cell_angle_gamma 90.00
loop_
_atom_site_label
_atom_site_type_symbol
_atom_site_fract_x
_atom_site_fract_y
_atom_site_fract_z
_atom_site_occupancy
Mn1 Mn 0.000 0.000 0.000 1
V1 V 0.500 0.500 0.119 1
V2 V 0.500 0.500 0.373 1
Tc1 Tc 0.000 0.000 0.245 1
Tc2 Tc 0.000 0.000 0.500 1
```

=====

# 10
A plane-wave DFT calculation with PBE was carried out for a relaxed structure of Er4TmAgS8.

Summary:
D(E_F) ... 0.000 states/eV per atom
Energy ... -252.825 eV per cell
E_form (uncorrected) ... -2478 kJ/mol of formula units

Structure (CIF):
```
data_Er4TmAgS8
_symmetry_space_group_name_H-M 'R 3 m'
_symmetry_Int_Tables_number 160
_symmetry_space_group_name_Hall 'R 3 -2"'
_cell_length_a 7.9584
_cell_length_b 7.9584
_cell_length_c 19.4561
_cell_angle_alpha 90.00
_cell_angle_beta 90.00
_cell_angle_gamma 120.00
loop_
_atom_site_label
_atom_site_type_symbol
_atom_site_fract_x
_atom_site_fract_y
_atom_site_fract_z
_atom_site_occupancy
Er1 Er 0.0000 0.0000 0.0000 1
Er2 Er 0.1725 0.3450 0.2070 1
Tm1 Tm 0.0000 0.0000 0.3796 1
Ag1 Ag 0.0000 0.0000 0.7504 1
S1 S 0.0000 0.0000 0.1336 1
S2 S 0.0000 0.0000 0.6172 1
S3 S 0.0220 0.5110 0.1275 1
S4 S 0.1783 0.3567 0.9561 1
```

=====

# 11
A plane-wave DFT calculation with PBE was carried out for a relaxed structure of InBiPbBr.

Summary:
D(E_F) ... 0.681 states/eV per atom
Energy ... -50.727 eV per cell
E_form (uncorrected) ... -66 kJ/mol of formula units

Structure (CIF):
```
data_InBiPbBr
_symmetry_space_group_name_H-M 'F -4 3 m'
_symmetry_Int_Tables_number 216
_symmetry_space_group_name_Hall 'F -4 2 3'
_cell_length_a 7.858
_cell_length_b 7.858
_cell_length_c 7.858
_cell_angle_alpha 90.00
_cell_angle_beta 90.00
_cell_angle_gamma 90.00
loop_
_atom_site_label
_atom_site_type_symbol
_atom_site_fract_x
_atom_site_fract_y
_atom_site_fract_z
_atom_site_occupancy
In1 In 0.000 0.000 0.000 1
Bi1 Bi 0.250 0.250 0.750 1
Pb1 Pb 0.000 0.000 0.500 1
Br1 Br 0.250 0.250 0.250 1
```

=====

# 12
A plane-wave DFT calculation with PBE was carried out for a relaxed structure of SiBi2Se.

Summary:
D(E_F) ... 0.229 states/eV per atom
Energy ... -62.287 eV per cell
E_form (uncorrected) ... 106 kJ/mol of formula units

Structure (CIF):
```
data_SiBi2Se
_symmetry_space_group_name_H-M 'I -4 2 d'
_symmetry_Int_Tables_number 122
_symmetry_space_group_name_Hall 'I -4 2bw'
_cell_length_a 7.120
_cell_length_b 7.120
_cell_length_c 11.135
_cell_angle_alpha 90.00
_cell_angle_beta 90.00
_cell_angle_gamma 90.00
loop_
_atom_site_label
_atom_site_type_symbol
_atom_site_fract_x
_atom_site_fract_y
_atom_site_fract_z
_atom_site_occupancy
Si1 Si 0.000 0.000 0.000 1
Bi1 Bi 0.227 0.250 0.125 1
Se1 Se 0.000 0.000 0.500 1
```